# 1
Tb2HfS5: optimized geometry, PBE.

Cell: 11.5575 7.7687 7.2728 Å, 90.00 90.00 90.00°
Fractional positions:
1 Tb 0.1785 0.0025 0.0236
2 Tb 0.1785 0.4975 0.0236
3 Tb 0.3215 0.5025 0.5236
4 Tb 0.3215 0.9975 0.5236
5 Tb 0.6785 0.0025 0.4764
6 Tb 0.6785 0.4975 0.4764
7 Tb 0.8215 0.5025 0.9764
8 Tb 0.8215 0.9975 0.9764
9 Hf 0.0061 0.7500 0.5757
10 Hf 0.4939 0.2500 0.0757
11 Hf 0.5061 0.7500 0.9243
12 Hf 0.9939 0.2500 0.4243
13 S 0.0037 0.7500 0.9462
14 S 0.0924 0.0362 0.6610
15 S 0.0924 0.4638 0.6610
16 S 0.1814 0.7500 0.3338
17 S 0.2069 0.2500 0.3119
18 S 0.2931 0.7500 0.8119
19 S 0.3186 0.2500 0.8338
20 S 0.4076 0.5362 0.1610
21 S 0.4076 0.9638 0.1610
22 S 0.4963 0.2500 0.4462
23 S 0.5037 0.7500 0.5538
24 S 0.5924 0.0362 0.8390
25 S 0.5924 0.4638 0.8390
26 S 0.6814 0.7500 0.1662
27 S 0.7069 0.2500 0.1881
28 S 0.7931 0.7500 0.6881
29 S 0.8186 0.2500 0.6662
30 S 0.9076 0.5362 0.3390
31 S 0.9076 0.9638 0.3390
32 S 0.9963 0.2500 0.0538

As for the symmetry: No. 62. For the energy above the most stable polymorph in this dataset, the calculation gives 0.000 eV per atom. The raw formation energy comes out at -1893 meV/atom.


# 2
TbHfS2: optimized geometry, PBE.

Cell: 6.9534 6.9534 6.9534 Å, 30.66 30.66 30.66°
Fractional positions:
1 Tb 0.0000 0.0000 0.0000
2 Hf 0.1754 0.1754 0.1754
3 S 0.5811 0.5811 0.5811
4 S 0.7623 0.7623 0.7623

As for the symmetry: No. 160. For the energy above the most stable polymorph in this dataset, the calculation gives 0.013 eV per atom. For the density of states at the Fermi level, the calculation gives 0.691 states/eV per atom. The raw formation energy comes out at -1556 meV/atom.


# 3
Tb2Hf2S7: optimized geometry, PBE.

Cell: 7.1395 7.1395 6.7315 Å, 94.43 94.43 111.35°
Fractional positions:
1 Tb 0.1868 0.8132 0.0000
2 Tb 0.8132 0.1868 0.0000
3 Hf 0.2310 0.2310 0.6106
4 Hf 0.7690 0.7690 0.3894
5 S 0.0717 0.0717 0.2641
6 S 0.0903 0.4484 0.7871
7 S 0.4484 0.0903 0.7871
8 S 0.5000 0.5000 0.5000
9 S 0.5516 0.9097 0.2129
10 S 0.9097 0.5516 0.2129
11 S 0.9283 0.9283 0.7359

As for the symmetry: No. 12. For the density of states at the Fermi level, the calculation gives 0.000 states/eV per atom. The raw formation energy comes out at -1670 meV/atom.


# 4
Tb3HfS6: optimized geometry, PBE.

Cell: 7.8340 7.8340 7.8340 Å, 97.99 97.99 97.99°
Fractional positions:
1 Tb 0.1235 0.7925 0.6151
2 Tb 0.2075 0.3849 0.8765
3 Tb 0.3849 0.8765 0.2075
4 Tb 0.6151 0.1235 0.7925
5 Tb 0.7925 0.6151 0.1235
6 Tb 0.8765 0.2075 0.3849
7 Hf 0.0000 0.0000 0.0000
8 Hf 0.5000 0.5000 0.5000
9 S 0.0669 0.6902 0.9257
10 S 0.0743 0.9331 0.3098
11 S 0.1826 0.4314 0.5358
12 S 0.3098 0.0743 0.9331
13 S 0.4314 0.5358 0.1826
14 S 0.4642 0.8174 0.5686
15 S 0.5358 0.1826 0.4314
16 S 0.5686 0.4642 0.8174
17 S 0.6902 0.9257 0.0669
18 S 0.8174 0.5686 0.4642
19 S 0.9257 0.0669 0.6902
20 S 0.9331 0.3098 0.0743

As for the symmetry: No. 148. For the density of states at the Fermi level, the calculation gives 0.201 states/eV per atom. The raw formation energy comes out at -1894 meV/atom.


Number 1: theoretical density 6.68 g/cm3. Number 2: theoretical density 8.60 g/cm3. Number 3: theoretical density 4.72 g/cm3. Number 4: theoretical density 6.05 g/cm3.